## TbNbW2C3 (PBE)

Data for a geometry-optimized TbNbW2C3 structure. Values from VASP.

Output
E	-10.008	eV/atom
size of the total moment	0.0	Bohr magnetons per cell

Cell and atoms, written as Quantum ESPRESSO input:
```
&SYSTEM
  ibrav = 0, nat = 7, ntyp = 4
/
ATOMIC_SPECIES
Tb 158.93 Tb.upf
Nb 92.91 Nb.upf
W 183.84 W.upf
C 12.01 C.upf
ATOMIC_POSITIONS angstrom
Tb 0.000 0.000 0.000
Nb 8.171 0.000 1.696
W 1.257 0.000 4.389
W 5.275 0.000 2.684
C 0.943 0.000 2.260
C 4.045 0.000 1.036
C 5.654 0.000 4.815
CELL_PARAMETERS angstrom
5.653 -1.613 0.000
5.653 1.613 0.000
-1.797 0.000 5.197
```

## TmNbTeC (PBE)

Data for a geometry-optimized TmNbTeC structure. Values from VASP.

Output
E	-7.353	eV/atom
distance to the lowest polymorph of the same formula	0.0	kJ per mole of atoms
size of the total moment	0.0	Bohr magnetons per cell

Cell and atoms, written as Quantum ESPRESSO input:
```
&SYSTEM
  ibrav = 0, nat = 8, ntyp = 4
/
ATOMIC_SPECIES
Tm 168.93 Tm.upf
Nb 92.91 Nb.upf
Te 127.60 Te.upf
C 12.01 C.upf
ATOMIC_POSITIONS angstrom
Tm 0.000 2.067 1.295
Tm 1.790 1.033 12.084
Nb 0.000 2.067 5.683
Nb 1.790 1.033 7.696
Te 0.000 2.067 9.752
Te 1.790 1.033 3.627
C 0.000 0.000 0.000
C 0.000 0.000 6.690
CELL_PARAMETERS angstrom
3.580 0.000 0.000
-1.790 3.100 0.000
0.000 0.000 13.379
```

## TmNbTeC (PBE)

Data for a geometry-optimized TmNbTeC structure. Values from VASP.

Output
E	-7.329	eV/atom
distance to the lowest polymorph of the same formula	2.3	kJ per mole of atoms
size of the total moment	0.0	Bohr magnetons per cell

Cell and atoms, written as Quantum ESPRESSO input:
```
&SYSTEM
  ibrav = 0, nat = 8, ntyp = 4
/
ATOMIC_SPECIES
Tm 168.93 Tm.upf
Nb 92.91 Nb.upf
Te 127.60 Te.upf
C 12.01 C.upf
ATOMIC_POSITIONS angstrom
Tm 0.000 0.000 2.302
Tm 0.000 0.000 11.225
Nb 1.763 1.018 4.682
Nb 1.763 1.018 8.845
Te 0.000 0.000 6.763
Te 1.763 1.018 0.000
C 0.000 2.036 3.630
C 0.000 2.036 9.897
CELL_PARAMETERS angstrom
3.526 0.000 0.000
-1.763 3.054 0.000
0.000 0.000 13.527
```

## Tm3NbTe2C2 (PBE)

Data for a geometry-optimized Tm3NbTe2C2 structure. Values from VASP.

Output
E	-6.752	eV/atom
size of the total moment	0.0	Bohr magnetons per cell

Cell and atoms, written as Quantum ESPRESSO input:
```
&SYSTEM
  ibrav = 0, nat = 8, ntyp = 4
/
ATOMIC_SPECIES
Tm 168.93 Tm.upf
Nb 92.91 Nb.upf
Te 127.60 Te.upf
C 12.01 C.upf
ATOMIC_POSITIONS angstrom
Tm 0.000 0.000 0.000
Tm 0.000 0.000 4.488
Tm 1.816 1.049 11.180
Nb 1.816 1.049 6.820
Te 0.000 0.000 8.825
Te 1.816 1.049 2.252
C 0.000 2.098 5.828
C 0.000 2.098 12.443
CELL_PARAMETERS angstrom
3.633 0.000 0.000
-1.816 3.146 0.000
0.000 0.000 13.757
```

## ThNbC2 (PBE)

Data for a geometry-optimized ThNbC2 structure. Values from VASP.

Output
E	-9.398	eV/atom
size of the total moment	0.0	Bohr magnetons per cell

Cell and atoms, written as Quantum ESPRESSO input:
```
&SYSTEM
  ibrav = 0, nat = 16, ntyp = 3
/
ATOMIC_SPECIES
Th 232.04 Th.upf
Nb 92.91 Nb.upf
C 12.01 C.upf
ATOMIC_POSITIONS angstrom
Th 0.496 0.883 1.603
Th 2.504 2.649 7.296
Th 3.497 0.883 4.091
Th 5.505 2.649 9.784
Nb 0.513 2.649 4.486
Nb 2.488 0.883 10.179
Nb 3.513 2.649 1.208
Nb 5.488 0.883 6.901
C 0.995 0.883 8.574
C 1.320 0.883 5.513
C 1.680 2.649 11.206
C 2.006 2.649 2.881
C 3.995 0.883 8.506
C 4.321 0.883 0.181
C 4.680 2.649 5.874
C 5.006 2.649 2.813
CELL_PARAMETERS angstrom
6.001 0.000 0.000
0.000 3.532 0.000
0.000 0.000 11.387
```

## Nb2Tl3W4C3 (PBE)

Data for a geometry-optimized Nb2Tl3W4C3 structure. Values from VASP.

Output
E	-8.727	eV/atom
size of the total moment	0.0	Bohr magnetons per cell

Cell and atoms, written as Quantum ESPRESSO input:
```
&SYSTEM
  ibrav = 0, nat = 24, ntyp = 4
/
ATOMIC_SPECIES
Nb 92.91 Nb.upf
Tl 204.38 Tl.upf
W 183.84 W.upf
C 12.01 C.upf
ATOMIC_POSITIONS angstrom
Nb 2.419 2.327 8.219
Nb 2.400 2.327 12.902
Nb 4.028 -2.327 1.179
Nb 4.009 -2.327 5.861
Tl -0.758 0.485 10.567
Tl 0.852 -0.485 3.527
Tl 2.409 0.404 10.560
Tl 4.019 -0.404 3.520
Tl 5.576 0.485 10.554
Tl 7.186 -0.485 3.513
W 2.392 0.459 1.064
W 2.411 0.483 5.977
W 0.783 -0.459 8.104
W 0.802 -0.483 13.017
W 5.626 0.483 1.063
W 5.645 0.459 5.977
W 4.017 -0.483 8.103
W 4.036 -0.459 13.017
C 0.802 1.392 7.040
C 4.004 1.364 0.002
C 4.033 1.364 7.039
C 2.412 -1.392 0.000
C 2.395 -1.364 7.042
C 2.424 -1.364 14.079
CELL_PARAMETERS angstrom
4.823 -2.785 0.000
4.823 2.785 0.000
-3.218 0.000 14.081
```